! HPdCl2 (meta-GGA SCAN, PBEsol geometry); values from VASP
&SYSTEM
  ibrav = 0, nat = 4, ntyp = 3
/
ATOMIC_SPECIES
H 1.01 H.upf
Pd 106.42 Pd.upf
Cl 35.45 Cl.upf
CELL_PARAMETERS angstrom
4.356 0.000 0.000
2.178 3.772 0.000
2.178 1.257 3.556
ATOMIC_POSITIONS crystal
H 0.000 0.000 0.000
Pd 0.500 0.500 0.500
Cl 0.250 0.250 0.250
Cl 0.750 0.750 0.750
! * symmetry: No. 225
! * E: -12.50 eV/atom
! * excess energy over the best structure of this formula in the dataset: 254 meV per atom

! LaMoSe2 (meta-GGA SCAN, PBEsol geometry); values from VASP
&SYSTEM
  ibrav = 0, nat = 4, ntyp = 3
/
ATOMIC_SPECIES
La 138.91 La.upf
Mo 95.94 Mo.upf
Se 78.96 Se.upf
CELL_PARAMETERS angstrom
4.049 0.000 0.000
0.000 4.049 0.000
0.000 0.000 5.734
ATOMIC_POSITIONS crystal
La 0.000 0.000 0.399
Mo 0.500 0.500 0.852
Se 0.000 0.000 0.891
Se 0.500 0.500 0.358
! * symmetry: No. 99
! * raw formation energy: -0.830 eV/atom
! * E: -30.37 eV/atom
! * excess energy over the best structure of this formula in the dataset: 0 meV per atom

! ZrBi2RuN (meta-GGA SCAN, PBEsol geometry); values from VASP
&SYSTEM
  ibrav = 0, nat = 5, ntyp = 4
/
ATOMIC_SPECIES
Ru 101.07 Ru.upf
Bi 208.98 Bi.upf
Zr 91.22 Zr.upf
N 14.01 N.upf
CELL_PARAMETERS angstrom
-0.094 -3.427 -1.438
0.009 -1.976 4.710
-5.106 0.115 0.058
ATOMIC_POSITIONS crystal
Ru 0.500 0.000 0.000
Bi 0.000 0.000 0.500
Bi 0.000 0.500 0.000
Zr 0.500 0.500 0.500
N 0.000 0.000 0.000
! * symmetry: No. 123
! * raw formation energy: 0.279 eV/atom
! * E: -46.12 eV/atom

! Na3YH6C3O12 (meta-GGA SCAN, PBEsol geometry); values from VASP
&SYSTEM
  ibrav = 0, nat = 100, ntyp = 5
/
ATOMIC_SPECIES
Na 22.99 Na.upf
Y 88.91 Y.upf
H 1.01 H.upf
C 12.01 C.upf
O 16.00 O.upf
CELL_PARAMETERS angstrom
-5.704 1.478 -0.061
-1.348 -5.544 -8.155
-3.624 -13.581 9.832
ATOMIC_POSITIONS crystal
Na 0.088 0.874 0.952
Na 0.588 0.126 0.048
Na 0.588 0.374 0.548
Na 0.088 0.626 0.452
Na 0.595 0.637 0.860
Na 0.095 0.363 0.140
Na 0.095 0.137 0.640
Na 0.595 0.863 0.360
Na 0.589 0.978 0.579
Na 0.089 0.021 0.421
Na 0.089 0.479 0.921
Na 0.589 0.521 0.079
Y 0.317 0.673 0.663
Y 0.817 0.327 0.337
Y 0.817 0.173 0.837
Y 0.317 0.827 0.163
H 0.554 0.696 0.511
H 0.054 0.304 0.489
H 0.054 0.196 0.989
H 0.554 0.804 0.011
H 0.764 0.727 0.571
H 0.264 0.273 0.429
H 0.264 0.227 0.929
H 0.764 0.773 0.071
H 0.768 0.782 0.735
H 0.268 0.218 0.265
H 0.268 0.282 0.765
H 0.768 0.718 0.235
H 0.564 0.877 0.764
H 0.064 0.123 0.236
H 0.064 0.377 0.736
H 0.564 0.623 0.264
H 0.765 0.509 0.681
H 0.265 0.491 0.319
H 0.265 0.009 0.819
H 0.765 0.991 0.181
H 0.563 0.421 0.719
H 0.063 0.579 0.281
H 0.063 0.921 0.781
H 0.563 0.079 0.219
C 0.589 0.944 0.901
C 0.089 0.056 0.099
C 0.089 0.444 0.599
C 0.589 0.556 0.401
C 0.088 0.687 0.808
C 0.588 0.313 0.192
C 0.588 0.187 0.692
C 0.088 0.813 0.308
C 0.084 0.877 0.582
C 0.584 0.123 0.418
C 0.584 0.377 0.918
C 0.084 0.623 0.082
O 0.036 0.765 0.747
O 0.536 0.235 0.253
O 0.536 0.265 0.753
O 0.036 0.735 0.247
O 0.970 0.970 0.548
O 0.470 0.030 0.452
O 0.470 0.470 0.952
O 0.970 0.530 0.048
O 0.037 0.749 0.572
O 0.537 0.251 0.428
O 0.537 0.249 0.928
O 0.037 0.751 0.072
O 0.250 0.904 0.629
O 0.750 0.096 0.371
O 0.750 0.404 0.871
O 0.250 0.596 0.129
O 0.037 0.498 0.667
O 0.537 0.502 0.333
O 0.537 0.998 0.833
O 0.037 0.002 0.167
O 0.255 0.606 0.797
O 0.755 0.394 0.203
O 0.755 0.106 0.703
O 0.255 0.894 0.297
O 0.977 0.695 0.871
O 0.477 0.305 0.129
O 0.477 0.195 0.629
O 0.977 0.805 0.371
O 0.481 0.841 0.926
O 0.981 0.159 0.074
O 0.981 0.341 0.574
O 0.481 0.659 0.426
O 0.753 0.000 0.939
O 0.253 0.000 0.061
O 0.253 0.500 0.561
O 0.753 0.500 0.439
O 0.592 0.723 0.567
O 0.092 0.277 0.433
O 0.092 0.223 0.933
O 0.592 0.777 0.067
O 0.596 0.792 0.734
O 0.096 0.208 0.266
O 0.096 0.292 0.766
O 0.596 0.708 0.234
O 0.594 0.505 0.688
O 0.094 0.495 0.312
O 0.094 0.005 0.812
O 0.594 0.995 0.188
! * symmetry: No. 33
! * E: -8.43 eV/atom

! Fe2TcPt (meta-GGA SCAN, PBEsol geometry); values from VASP
&SYSTEM
  ibrav = 0, nat = 4, ntyp = 3
/
ATOMIC_SPECIES
Fe 55.84 Fe.upf
Pt 195.08 Pt.upf
Tc 98.00 Tc.upf
CELL_PARAMETERS angstrom
3.518 0.000 0.000
0.000 3.716 0.000
0.000 0.000 3.716
ATOMIC_POSITIONS crystal
Fe 0.000 0.000 0.500
Fe 0.000 0.500 0.000
Pt 0.500 0.500 0.500
Tc 0.500 0.000 0.000
! * symmetry: No. 123
! * E_form: 0.172 eV per atom
! * E: -35.21 eV/atom
! * excess energy over the best structure of this formula in the dataset: 286 meV per atom

! K5Na3Ta7NbO24 (meta-GGA SCAN, PBEsol geometry); values from VASP
&SYSTEM
  ibrav = 0, nat = 40, ntyp = 5
/
ATOMIC_SPECIES
K 39.10 K.upf
Na 22.99 Na.upf
Ta 180.95 Ta.upf
Nb 92.91 Nb.upf
O 16.00 O.upf
CELL_PARAMETERS angstrom
7.958 0.000 0.000
0.000 7.956 0.000
0.000 0.000 7.956
ATOMIC_POSITIONS crystal
K 0.749 0.750 0.750
K 0.749 0.750 0.250
K 0.749 0.250 0.750
K 0.749 0.250 0.250
K 0.250 0.250 0.250
Na 0.246 0.753 0.753
Na 0.246 0.753 0.252
Na 0.246 0.252 0.753
Ta 0.000 0.000 0.000
Ta 0.497 0.000 0.000
Ta 0.001 0.000 0.501
Ta 0.497 0.002 0.501
Ta 0.001 0.501 0.000
Ta 0.497 0.501 0.002
Ta 0.998 0.501 0.501
Nb 0.495 0.503 0.503
O 0.005 0.750 0.999
O 0.497 0.749 0.998
O 0.006 0.750 0.500
O 0.498 0.750 0.499
O 0.004 0.250 0.998
O 0.498 0.249 0.997
O 0.005 0.249 0.501
O 0.499 0.248 0.501
O 0.005 0.999 0.750
O 0.497 0.998 0.749
O 0.004 0.998 0.250
O 0.498 0.997 0.249
O 0.006 0.500 0.750
O 0.498 0.499 0.750
O 0.005 0.501 0.249
O 0.499 0.501 0.248
O 0.751 0.999 0.999
O 0.250 0.998 0.998
O 0.751 0.999 0.500
O 0.251 0.997 0.500
O 0.751 0.500 0.999
O 0.251 0.500 0.997
O 0.753 0.500 0.500
O 0.250 0.500 0.500
! * symmetry: No. 8
! * raw formation energy: -2.850 eV/atom
! * E: -20.43 eV/atom

! Y2S3O12 (meta-GGA SCAN, PBEsol geometry); values from VASP
&SYSTEM
  ibrav = 0, nat = 68, ntyp = 3
/
ATOMIC_SPECIES
Y 88.91 Y.upf
S 32.06 S.upf
O 16.00 O.upf
CELL_PARAMETERS angstrom
9.223 0.000 0.000
0.000 9.300 0.000
0.000 0.000 12.863
ATOMIC_POSITIONS crystal
Y 0.750 0.464 0.117
Y 0.750 0.036 0.883
Y 0.750 0.964 0.383
Y 0.750 0.536 0.617
Y 0.250 0.536 0.883
Y 0.250 0.964 0.117
Y 0.250 0.036 0.617
Y 0.250 0.464 0.383
S 0.967 0.750 0.000
S 0.533 0.250 0.500
S 0.033 0.250 0.000
S 0.467 0.750 0.500
S 0.892 0.611 0.355
S 0.892 0.889 0.645
S 0.608 0.111 0.145
S 0.608 0.389 0.855
S 0.108 0.389 0.645
S 0.108 0.111 0.355
S 0.392 0.889 0.855
S 0.392 0.611 0.145
O 0.834 0.572 0.458
O 0.834 0.928 0.542
O 0.666 0.072 0.042
O 0.666 0.428 0.958
O 0.166 0.428 0.542
O 0.166 0.072 0.458
O 0.334 0.928 0.958
O 0.334 0.572 0.042
O 0.642 0.262 0.169
O 0.642 0.238 0.831
O 0.858 0.762 0.331
O 0.858 0.738 0.669
O 0.358 0.738 0.831
O 0.358 0.762 0.169
O 0.142 0.238 0.669
O 0.142 0.262 0.331
O 0.058 0.668 0.927
O 0.942 0.332 0.073
O 0.558 0.832 0.427
O 0.558 0.668 0.573
O 0.051 0.592 0.354
O 0.051 0.908 0.646
O 0.449 0.092 0.146
O 0.449 0.408 0.854
O 0.949 0.408 0.646
O 0.949 0.092 0.354
O 0.551 0.908 0.854
O 0.551 0.592 0.146
O 0.374 0.651 0.440
O 0.374 0.849 0.560
O 0.126 0.151 0.060
O 0.126 0.349 0.940
O 0.626 0.349 0.560
O 0.626 0.151 0.440
O 0.874 0.849 0.940
O 0.874 0.651 0.060
O 0.326 0.516 0.224
O 0.326 0.984 0.776
O 0.174 0.016 0.276
O 0.174 0.484 0.724
O 0.674 0.484 0.776
O 0.674 0.016 0.224
O 0.826 0.984 0.724
O 0.826 0.516 0.276
O 0.442 0.332 0.427
O 0.442 0.168 0.573
O 0.058 0.832 0.073
O 0.942 0.168 0.927
! * symmetry: No. 60
! * raw formation energy: -2.431 eV/atom
! * E: -11.80 eV/atom

! Li2CuPO4 (meta-GGA SCAN, PBEsol geometry); values from VASP
&SYSTEM
  ibrav = 0, nat = 32, ntyp = 4
/
ATOMIC_SPECIES
Li 6.94 Li.upf
Cu 63.55 Cu.upf
P 30.97 P.upf
O 16.00 O.upf
CELL_PARAMETERS angstrom
5.020 0.000 -0.006
0.000 6.123 0.000
-0.131 0.000 10.687
ATOMIC_POSITIONS crystal
Li 0.794 0.254 0.338
Li 0.794 0.746 0.338
Li 0.194 0.000 0.424
Li 0.195 0.752 0.657
Li 0.301 0.000 0.923
Li 0.699 0.744 0.839
Li 0.699 0.256 0.839
Li 0.195 0.248 0.657
Cu 0.794 0.500 0.115
Cu 0.258 0.697 0.166
Cu 0.258 0.303 0.166
Cu 0.753 0.500 0.606
P 0.207 0.500 0.895
P 0.686 0.000 0.585
P 0.306 0.500 0.414
P 0.807 0.000 0.086
O 0.710 0.201 0.162
O 0.710 0.799 0.162
O 0.118 0.000 0.082
O 0.795 0.201 0.660
O 0.693 0.000 0.951
O 0.193 0.289 0.349
O 0.301 0.710 0.827
O 0.301 0.290 0.827
O 0.900 0.500 0.905
O 0.795 0.799 0.660
O 0.378 0.000 0.584
O 0.219 0.500 0.552
O 0.793 0.000 0.451
O 0.614 0.500 0.408
O 0.193 0.711 0.349
O 0.346 0.500 0.026
! * symmetry: No. 6
! * raw formation energy: -2.172 eV/atom
! * E: -9.08 eV/atom
! * excess energy over the best structure of this formula in the dataset: 0 meV per atom

! TaRhSe2 (meta-GGA SCAN, PBEsol geometry); values from VASP
&SYSTEM
  ibrav = 0, nat = 4, ntyp = 3
/
ATOMIC_SPECIES
Rh 102.91 Rh.upf
Se 78.96 Se.upf
Ta 180.95 Ta.upf
CELL_PARAMETERS angstrom
3.463 0.000 0.000
0.000 3.463 0.000
0.000 0.000 6.405
ATOMIC_POSITIONS crystal
Rh 0.500 0.500 0.724
Se 0.000 0.000 0.905
Se 0.500 0.500 0.342
Ta 0.000 0.000 0.528
! * symmetry: No. 99
! * raw formation energy: -0.468 eV/atom
! * E: -35.60 eV/atom
! * excess energy over the best structure of this formula in the dataset: 0 meV per atom

! CdInTe2 (meta-GGA SCAN, PBEsol geometry); values from VASP
&SYSTEM
  ibrav = 0, nat = 4, ntyp = 3
/
ATOMIC_SPECIES
Te 127.60 Te.upf
In 114.82 In.upf
Cd 112.41 Cd.upf
CELL_PARAMETERS angstrom
4.277 0.000 0.000
0.000 4.277 0.000
0.000 0.000 6.088
ATOMIC_POSITIONS crystal
Te 0.000 0.000 0.875
Te 0.500 0.500 0.375
In 0.500 0.500 0.875
Cd 0.000 0.000 0.375
! * symmetry: No. 123
! * raw formation energy: -0.328 eV/atom
! * E: -34.90 eV/atom

! LaY3Zn (meta-GGA SCAN, PBEsol geometry); values from VASP
&SYSTEM
  ibrav = 0, nat = 5, ntyp = 3
/
ATOMIC_SPECIES
Y 88.91 Y.upf
Zn 65.41 Zn.upf
La 138.91 La.upf
CELL_PARAMETERS angstrom
5.487 0.000 0.000
0.000 5.487 0.000
0.000 0.000 5.487
ATOMIC_POSITIONS crystal
Y 0.000 0.500 0.000
Y 0.000 0.000 0.500
Y 0.500 0.000 0.000
Zn 0.500 0.500 0.500
La 0.000 0.000 0.000
! * symmetry: No. 221
! * E_form: 0.947 eV per atom
! * E: -27.08 eV/atom

! NaNbC3 (meta-GGA SCAN, PBEsol geometry); values from VASP
&SYSTEM
  ibrav = 0, nat = 5, ntyp = 3
/
ATOMIC_SPECIES
Na 22.99 Na.upf
Nb 92.91 Nb.upf
C 12.01 C.upf
CELL_PARAMETERS angstrom
-1.852 0.676 -3.322
-2.921 -2.239 1.173
-1.721 3.074 1.585
ATOMIC_POSITIONS crystal
Na 0.000 0.000 0.000
Nb 0.500 0.500 0.500
C 0.000 0.500 0.000
C 0.000 0.000 0.500
C 0.500 0.000 0.000
! * symmetry: No. 221
! * E_form: 3.299 eV per atom
! * E: -10.23 eV/atom

! LaSi3Ru (meta-GGA SCAN, PBEsol geometry); values from VASP
&SYSTEM
  ibrav = 0, nat = 5, ntyp = 3
/
ATOMIC_SPECIES
Ru 101.07 Ru.upf
Si 28.09 Si.upf
La 138.91 La.upf
CELL_PARAMETERS angstrom
4.221 -0.001 -0.002
-0.001 4.221 -0.002
-2.113 -2.113 4.959
ATOMIC_POSITIONS crystal
Ru 0.345 0.345 0.690
Si 0.582 0.582 0.165
Si 0.739 0.239 0.478
Si 0.239 0.739 0.478
La 0.001 0.001 0.001
! * symmetry: No. 107
! * raw formation energy: -0.746 eV/atom
! * E: -22.34 eV/atom

! CuP2Ru (meta-GGA SCAN, PBEsol geometry); values from VASP
&SYSTEM
  ibrav = 0, nat = 4, ntyp = 3
/
ATOMIC_SPECIES
Cu 63.55 Cu.upf
P 30.97 P.upf
Ru 101.07 Ru.upf
CELL_PARAMETERS angstrom
-2.415 -1.007 0.898
1.690 -2.267 2.003
0.373 5.417 2.818
ATOMIC_POSITIONS crystal
Cu 0.194 0.694 0.388
P 0.043 0.043 0.087
P 0.796 0.296 0.592
Ru 0.467 0.467 0.934
! * symmetry: No. 44
! * E_form: -0.051 eV per atom
! * E: -17.76 eV/atom
! * excess energy over the best structure of this formula in the dataset: 0 meV per atom

! AlMoRu (meta-GGA SCAN, PBEsol geometry); values from VASP
&SYSTEM
  ibrav = 0, nat = 3, ntyp = 3
/
ATOMIC_SPECIES
Ru 101.07 Ru.upf
Mo 95.94 Mo.upf
Al 26.98 Al.upf
CELL_PARAMETERS angstrom
2.933 0.000 0.000
0.000 2.933 0.000
-1.466 -1.466 4.880
ATOMIC_POSITIONS crystal
Ru 0.336 0.336 0.672
Mo 0.672 0.672 0.343
Al 0.993 0.993 0.985
! * symmetry: No. 107
! * E_form: -0.466 eV per atom
! * E: -26.29 eV/atom

! LiZrI2O (meta-GGA SCAN, PBEsol geometry); values from VASP
&SYSTEM
  ibrav = 0, nat = 5, ntyp = 4
/
ATOMIC_SPECIES
I 126.90 I.upf
O 16.00 O.upf
Zr 91.22 Zr.upf
Li 6.94 Li.upf
CELL_PARAMETERS angstrom
3.543 0.000 0.000
0.000 5.234 0.000
0.000 0.000 5.234
ATOMIC_POSITIONS crystal
I 0.000 0.000 0.500
I 0.000 0.500 0.000
O 0.500 0.000 0.000
Zr 0.500 0.500 0.500
Li 0.000 0.000 0.000
! * symmetry: No. 123
! * raw formation energy: -0.385 eV/atom
! * E: -22.95 eV/atom